P | The following is a meta-GGA SCAN calculation of BaTc2Ni at its PBEsol-relaxed geometry, from Alexandria via LeMat-Bulk.

Cell lengths 3.7236, 3.7236, 5.2554 Å; angles 90.00, 90.00, 90.00 degrees
Each line ends with the local moment (μB).
Fractional positions:
Ni (0.0000, 0.0000, 0.5000)  0.28
Ba (0.5000, 0.5000, 0.5000)  -0.03
Tc (0.5000, 0.0000, 0.0000)  0.34
Tc (0.0000, 0.5000, 0.0000)  0.34

Output
As for the space-group type: P4/mmm.

***

Q | The following is a meta-GGA SCAN calculation of BaTc2Ni at its PBEsol-relaxed geometry, from Alexandria via LeMat-Bulk.

Cell lengths 3.2125, 5.5504, 5.5504 Å; angles 60.61, 73.18, 73.18 degrees
Fractional positions:
Tc (0.6875, 0.8125, 0.8125)
Tc (0.0029, 0.9971, 0.9971)
Ni (0.3044, 0.1956, 0.1956)
Ba (0.5053, 0.4947, 0.4947)

Output
As for the space-group type: Imm2.

***

R | The following is a meta-GGA SCAN calculation of BaTc2Ni at its PBEsol-relaxed geometry, from Alexandria via LeMat-Bulk.

Cell lengths 3.0735, 4.4414, 5.1585 Å; angles 89.83, 90.00, 90.00 degrees
Fractional positions:
Ni (0.0000, 0.5000, 0.5000)
Ba (0.5000, 0.0000, 0.5000)
Tc (0.0000, 0.0000, 0.0000)
Tc (0.5000, 0.5000, 0.0000)

Output
As for the space-group type: P2/m.

***

Energy above the most stable structure, in meV/atom: P 315; Q 0; R 261